First-principles (PBE) data for a relaxed structure of Sc2BeCu, as listed in Alexandria.

Lattice parameters (Å, degrees): 5.452 5.452 4.507 65.68 65.68 33.36
Element x y z (fractional)
Sc (0.980, 0.980, 0.020)
Sc (0.772, 0.772, 0.728)
Be (0.538, 0.538, 0.463)
Cu (0.210, 0.210, 0.289)

Values from the calculation:
Its volume is 16.62 Å³/atom. Its space group is Cm. The value obtained for the formation energy is -0.05 eV per atom.

***

First-principles (PBE) data for a relaxed structure of CrAg2Ru, as listed in Alexandria.

Lattice parameters (Å, degrees): 5.133 5.133 5.133 142.75 127.19 66.39
Last column: magnetic moment on the atom in μB.
Element x y z (fractional)
Ag (0.008, 0.008, 0.000)  0.02
Ag (0.737, 0.237, 0.500)  0.01
Cr (0.474, 0.474, 0.000)  2.21
Ru (0.281, 0.781, 0.500)  -0.67

Values from the calculation:
Its volume is 16.08 Å³/atom. The calculation puts the offset from the most stable computed form at 231 meV/atom. Its space group is Imm2. The value obtained for the formation energy is 0.51 eV per atom.

***

First-principles (PBE) data for a relaxed structure of CaLu2N, as listed in Alexandria.

Lattice parameters (Å, degrees): 3.422 3.422 9.420 79.53 79.53 60.00
Element x y z (fractional)
Ca (0.000, 0.000, 0.000)
Lu (0.120, 0.120, 0.640)
Lu (0.880, 0.880, 0.360)
N (0.500, 0.500, 0.500)

Values from the calculation:
Its volume is 23.36 Å³/atom. For the raw formation energy, the calculation gives -0.699 eV/atom. Its space group is R-3m.